This record from the Alexandria database describes a relaxed Nb6VGa3 crystal. The functional is PBE.

POSCAR file:
```
Nb6VGa3
1.0
5.026 0.000 0.000
0.000 7.806 0.000
-4.989 0.000 9.056
Nb V Ga
12 2 6
Direct
0.005 0.168 0.441
0.005 0.332 0.941
0.383 0.674 0.440
0.383 0.826 0.940
0.412 0.074 0.257
0.412 0.426 0.757
0.588 0.574 0.243
0.588 0.926 0.743
0.617 0.174 0.060
0.617 0.326 0.560
0.995 0.668 0.059
0.995 0.832 0.559
0.500 0.000 0.500
0.500 0.500 0.000
0.000 0.000 0.000
0.000 0.500 0.500
0.103 0.113 0.745
0.103 0.387 0.245
0.897 0.613 0.755
0.897 0.887 0.255
```

**Density of states at the Fermi level**: 8.92 states/eV/f.u.
**Electronic total energy**: -7.810 eV per atom
**Energy of formation**: 0.051 eV/atom

***

This record from the Alexandria database describes a relaxed NbV3Ga crystal. The functional is PBE.

POSCAR file:
```
NbV3Ga
1.0
7.001 0.000 0.000
0.000 5.241 0.000
-3.362 0.000 8.074
Nb V Ga
4 12 4
Direct
0.182 0.184 0.063
0.182 0.316 0.563
0.818 0.684 0.437
0.818 0.816 0.937
0.016 0.626 0.229
0.016 0.874 0.729
0.388 0.069 0.858
0.388 0.431 0.358
0.402 0.566 0.837
0.402 0.934 0.337
0.598 0.066 0.663
0.598 0.434 0.163
0.612 0.569 0.642
0.612 0.931 0.142
0.984 0.126 0.271
0.984 0.374 0.771
0.241 0.688 0.042
0.241 0.812 0.542
0.759 0.188 0.458
0.759 0.312 0.958
```

**Energy above the most stable polymorph in this dataset**: 0 meV per atom
**Density of states at the Fermi level**: 5.72 states/eV/f.u.
**Electronic total energy**: -8.132 eV per atom
**Energy of formation**: -0.042 eV/atom

***

This record from the Alexandria database describes a relaxed NbV5Ga8 crystal. The functional is PBE.

POSCAR file:
```
NbV5Ga8
1.0
-3.732 3.732 3.930
3.732 -3.732 3.930
3.732 3.732 -3.930
Nb V Ga
1 5 8
Direct
0.000 0.000 0.000
0.215 0.655 0.214
0.345 0.558 0.560
0.442 0.002 0.786
0.750 0.250 0.500
0.998 0.785 0.440
0.128 0.677 0.802
0.172 0.269 0.778
0.323 0.125 0.452
0.491 0.394 0.222
0.606 0.828 0.097
0.673 0.872 0.548
0.731 0.509 0.903
0.875 0.327 0.198
```

**Density of states at the Fermi level**: 9.84 states/eV/f.u.
**Electronic total energy**: -5.693 eV per atom
**Energy of formation**: 0.013 eV/atom

***

This record from the Alexandria database describes a relaxed Nb2V2Ga crystal. The functional is PBE.

POSCAR file:
```
Nb2V2Ga
1.0
-1.863 1.863 6.290
1.863 -1.863 6.290
1.863 1.863 -6.290
Nb V Ga
2 2 1
Direct
0.250 0.750 0.500
0.750 0.250 0.500
0.078 0.078 0.000
0.922 0.922 0.000
0.500 0.500 0.000
```

**Energy above the most stable polymorph in this dataset**: 528 meV per atom
**Density of states at the Fermi level**: 5.77 states/eV/f.u.
**Electronic total energy**: -7.685 eV per atom
**Energy of formation**: 0.596 eV/atom

***

This record from the Alexandria database describes a relaxed Nb3VGa4 crystal. The functional is PBE.

POSCAR file:
```
Nb3VGa4
1.0
5.216 0.000 0.000
0.000 10.409 0.000
0.000 0.000 5.217
Nb V Ga
6 2 8
Direct
0.250 0.000 0.250
0.250 0.250 0.749
0.250 0.500 0.250
0.750 0.000 0.750
0.750 0.500 0.750
0.750 0.750 0.251
0.250 0.750 0.751
0.750 0.250 0.249
0.250 0.250 0.249
0.250 0.505 0.750
0.250 0.750 0.251
0.250 0.995 0.750
0.750 0.005 0.250
0.750 0.250 0.749
0.750 0.495 0.250
0.750 0.750 0.751
```

**Density of states at the Fermi level**: 3.68 states/eV/f.u.
**Electronic total energy**: -6.338 eV per atom
**Energy of formation**: 0.091 eV/atom

***

This record from the Alexandria database describes a relaxed NbV4Ga2 crystal. The functional is PBE.

POSCAR file:
```
NbV4Ga2
1.0
-2.282 2.282 6.603
2.282 -2.282 6.603
2.282 2.282 -6.603
Nb V Ga
1 4 2
Direct
0.000 0.000 0.000
0.000 0.500 0.500
0.189 0.189 0.000
0.500 0.000 0.500
0.811 0.811 0.000
0.384 0.384 0.000
0.616 0.616 0.000
```

**Density of states at the Fermi level**: 8.52 states/eV/f.u.
**Electronic total energy**: -6.451 eV per atom
**Energy of formation**: 1.063 eV/atom

***

This record from the Alexandria database describes a relaxed Nb6VGa2 crystal. The functional is PBE.

POSCAR file:
```
Nb6VGa2
1.0
-2.285 3.015 6.350
2.285 -3.015 6.350
2.285 3.015 -6.350
Nb V Ga
6 1 2
Direct
0.093 0.849 0.243
0.253 0.500 0.753
0.394 0.151 0.243
0.606 0.849 0.757
0.747 0.500 0.247
0.907 0.151 0.757
0.500 0.000 0.500
0.178 0.678 0.500
0.822 0.322 0.500
```

**Density of states at the Fermi level**: 4.63 states/eV/f.u.
**Electronic total energy**: -8.038 eV per atom
**Energy of formation**: 0.361 eV/atom

***

This record from the Alexandria database describes a relaxed NbV3Ga crystal. The functional is PBE.

POSCAR file:
```
NbV3Ga
1.0
4.589 0.000 0.000
0.000 4.589 0.000
0.000 0.000 4.589
Nb V Ga
1 3 1
Direct
0.000 0.000 0.000
0.000 0.000 0.500
0.000 0.500 0.000
0.500 0.000 0.000
0.500 0.500 0.500
```

**Energy above the most stable polymorph in this dataset**: 1409 meV per atom
**Density of states at the Fermi level**: 6.94 states/eV/f.u.
**Electronic total energy**: -6.723 eV per atom
**Energy of formation**: 1.368 eV/atom

***

This record from the Alexandria database describes a relaxed NbV2Ga crystal. The functional is PBE.

POSCAR file:
```
NbV2Ga
1.0
-2.209 2.209 3.117
2.209 -2.209 3.117
2.209 2.209 -3.117
Nb V Ga
1 2 1
Direct
0.000 0.000 0.000
0.250 0.750 0.500
0.500 0.500 0.000
0.750 0.250 0.500
```

**Density of states at the Fermi level**: 2.06 states/eV/f.u.
**Electronic total energy**: -7.875 eV per atom
**Energy of formation**: -0.041 eV/atom

***

This record from the Alexandria database describes a relaxed NbV3Ga crystal. The functional is PBE.

POSCAR file:
```
NbV3Ga
1.0
4.461 0.000 0.000
0.000 4.461 0.000
0.000 0.000 4.461
Nb V Ga
1 3 1
Direct
0.000 0.000 0.000
0.000 0.500 0.500
0.500 0.000 0.500
0.500 0.500 0.000
0.500 0.500 0.500
```

**Energy above the most stable polymorph in this dataset**: 1142 meV per atom
**Density of states at the Fermi level**: 5.66 states/eV/f.u.
**Electronic total energy**: -6.990 eV per atom
**Energy of formation**: 1.101 eV/atom

***

This record from the Alexandria database describes a relaxed NbV12Ga6 crystal. The functional is PBE.

POSCAR file:
```
NbV12Ga6
1.0
4.623 2.669 3.736
-4.623 2.669 3.736
0.000 -5.338 3.736
Nb V Ga
1 12 6
Direct
0.000 0.000 0.000
0.064 0.147 0.378
0.147 0.378 0.064
0.196 0.480 0.566
0.378 0.064 0.147
0.434 0.804 0.520
0.480 0.566 0.196
0.520 0.434 0.804
0.566 0.196 0.480
0.622 0.936 0.853
0.804 0.520 0.434
0.853 0.622 0.936
0.936 0.853 0.622
0.124 0.734 0.281
0.266 0.719 0.876
0.281 0.124 0.734
0.719 0.876 0.266
0.734 0.281 0.124
0.876 0.266 0.719
```

**Density of states at the Fermi level**: 23.37 states/eV/f.u.
**Electronic total energy**: -7.233 eV per atom
**Energy of formation**: 0.012 eV/atom

***

This record from the Alexandria database describes a relaxed NbVGa2 crystal. The functional is PBE.

POSCAR file:
```
NbVGa2
1.0
1.440 0.831 8.938
-1.440 0.831 8.938
0.000 -1.663 8.938
Nb V Ga
1 1 2
Direct
0.000 0.000 0.000
0.500 0.500 0.500
0.246 0.246 0.246
0.754 0.754 0.754
```

**Energy above the most stable polymorph in this dataset**: 158 meV per atom
**Density of states at the Fermi level**: 2.89 states/eV/f.u.
**Electronic total energy**: -6.369 eV per atom
**Energy of formation**: -0.059 eV/atom